(1)
Compound: YBeAl3Cu
Source: the Alexandria database
Functional: GGA-PBE
Structure: optimized geometry

Properties
For the total energy, the calculation gives -25.684 eV per formula unit. Its formation energy is -0.03 eV/atom.

Structure (POSCAR):
```
YBeAl3Cu
1.0
-0.993 -2.041 -5.284
-4.937 -2.982 2.080
-0.865 6.183 -2.226
Al Be Y Cu
6 2 2 2
Direct
0.000 0.287 0.000
0.500 0.713 0.000
0.500 0.287 0.000
0.750 0.857 0.715
0.250 0.143 0.285
0.000 0.713 0.000
0.750 0.058 0.116
0.250 0.942 0.884
0.750 0.280 0.559
0.250 0.720 0.441
0.750 0.645 0.291
0.250 0.355 0.709
```



(2)
Compound: NpP2Pd4
Source: the Alexandria database
Functional: GGA-PBE
Structure: optimized geometry

Properties
For the total energy, the calculation gives -48.575 eV per formula unit. Its formation energy is -0.58 eV/atom.

Structure (POSCAR):
```
NpP2Pd4
1.0
-1.650 -3.164 1.438
2.605 -4.076 -5.976
6.438 -1.590 3.891
Pd Np P
8 2 4
Direct
0.000 0.913 0.667
0.000 0.667 0.913
0.000 0.087 0.333
0.000 0.333 0.087
0.500 0.413 0.833
0.500 0.167 0.587
0.500 0.833 0.413
0.500 0.587 0.167
0.000 0.500 0.500
0.500 0.000 0.000
0.500 0.716 0.716
0.000 0.216 0.784
0.000 0.784 0.216
0.500 0.284 0.284
```



(3)
Compound: Pa6BiSe12
Source: the Alexandria database
Functional: GGA-PBE
Structure: optimized geometry

Properties
For the total energy, the calculation gives -123.984 eV per formula unit. The uncorrected formation energy comes out at -1.12 eV/atom.

Structure (POSCAR):
```
Pa6BiSe12
1.0
8.363 -0.180 -0.215
-1.446 8.240 -0.215
-1.446 -1.684 8.068
Pa Se Bi
6 12 1
Direct
0.136 0.625 0.314
0.314 0.136 0.625
0.686 0.864 0.375
0.864 0.375 0.686
0.625 0.314 0.136
0.375 0.686 0.864
0.944 0.331 0.059
0.419 0.563 0.175
0.941 0.056 0.669
0.056 0.669 0.941
0.331 0.059 0.944
0.825 0.581 0.437
0.563 0.175 0.419
0.437 0.825 0.581
0.669 0.941 0.056
0.175 0.419 0.563
0.059 0.944 0.331
0.581 0.437 0.825
0.000 0.000 0.000
```



(4)
Compound: KPuBr3
Source: the Alexandria database
Functional: GGA-PBE
Structure: optimized geometry

Properties
Its energy above the most stable polymorph in this dataset is 0.0 meV/atom. For the total energy, the calculation gives -28.188 eV per formula unit. The uncorrected formation energy comes out at -1.55 eV/atom.

Structure (POSCAR):
```
KPuBr3
1.0
4.317 0.000 0.000
0.000 9.418 0.000
0.000 0.000 16.751
Pu Br K
4 12 4
Direct
0.250 0.178 0.958
0.250 0.678 0.542
0.750 0.822 0.042
0.750 0.322 0.458
0.750 0.341 0.039
0.250 0.509 0.391
0.250 0.659 0.961
0.750 0.491 0.609
0.250 0.821 0.701
0.750 0.841 0.461
0.250 0.159 0.539
0.250 0.009 0.109
0.250 0.321 0.799
0.750 0.991 0.891
0.750 0.179 0.299
0.750 0.679 0.201
0.750 0.106 0.697
0.250 0.894 0.303
0.250 0.394 0.197
0.750 0.606 0.803
```



(5)
Compound: SmDy4Pd5
Source: the Alexandria database
Functional: GGA-PBE
Structure: optimized geometry

Properties
For the total energy, the calculation gives -57.707 eV per formula unit. Its formation energy is -0.86 eV/atom.

Structure (POSCAR):
```
SmDy4Pd5
1.0
-0.756 -2.227 -2.570
3.355 -0.057 -0.938
2.878 -13.825 11.133
Dy Sm Pd
4 1 5
Direct
0.000 0.000 0.203
0.000 0.000 0.599
0.000 0.000 0.797
0.000 0.000 0.401
0.000 0.000 0.000
0.500 0.500 0.698
0.500 0.500 0.894
0.500 0.500 0.500
0.500 0.500 0.302
0.500 0.500 0.106
```



(6)
Compound: Y4Si3Ir
Source: the Alexandria database
Functional: GGA-PBE
Structure: optimized geometry

Properties
For the total energy, the calculation gives -57.751 eV per formula unit. The uncorrected formation energy comes out at -0.85 eV/atom.

Structure (POSCAR):
```
Y4Si3Ir
1.0
-1.288 3.813 1.401
-0.997 -1.575 3.371
9.826 1.921 3.803
Si Y Ir
3 4 1
Direct
0.000 0.000 0.431
0.500 0.000 0.927
0.000 0.500 0.575
0.000 0.500 0.858
0.000 0.000 0.138
0.500 0.500 0.356
0.500 0.000 0.642
0.500 0.500 0.073
```



(7)
Compound: RbMnTl
Source: the Alexandria database
Functional: GGA-PBE
Structure: optimized geometry

Properties
Its energy above the most stable polymorph in this dataset is 133.0 meV/atom. For the total energy, the calculation gives -11.001 eV per formula unit. Its formation energy is 0.50 eV/atom.

Structure (POSCAR):
```
RbMnTl
1.0
3.490 0.001 0.000
0.000 5.088 0.010
-0.217 -1.783 11.737
Mn Tl Rb
2 2 2
Direct
0.753 0.581 0.042
0.247 0.419 0.958
0.758 0.115 0.118
0.242 0.885 0.882
0.730 0.318 0.686
0.270 0.682 0.314
```



(8)
Compound: TbEr2Lu
Source: the Alexandria database
Functional: GGA-PBE
Structure: optimized geometry

Properties
Its energy above the most stable polymorph in this dataset is 0.8 meV/atom. For the total energy, the calculation gives -18.169 eV per formula unit. Its formation energy is 0.03 eV/atom.

Structure (POSCAR):
```
TbEr2Lu
1.0
3.505 0.000 0.000
1.752 3.035 0.000
1.752 1.012 11.400
Er Tb Lu
2 1 1
Direct
0.749 0.749 0.753
0.251 0.251 0.247
0.500 0.500 0.500
0.000 0.000 0.000
```



(9)
Compound: Dy3ScHg5
Source: the Alexandria database
Functional: GGA-PBE
Structure: optimized geometry

Properties
For the total energy, the calculation gives -25.424 eV per formula unit. Its formation energy is -0.42 eV/atom.

Structure (POSCAR):
```
Dy3ScHg5
1.0
-1.923 -0.311 6.024
-3.270 -8.296 -1.473
8.534 1.066 2.780
Hg Dy Sc
10 6 2
Direct
0.250 0.000 0.708
0.000 0.667 0.333
0.000 0.333 0.667
0.750 0.000 0.292
0.750 0.292 0.000
0.500 0.667 0.333
0.750 0.708 0.708
0.250 0.292 0.292
0.250 0.708 0.000
0.500 0.333 0.667
0.750 0.632 0.000
0.250 0.632 0.632
0.750 0.368 0.368
0.250 0.368 0.000
0.250 0.000 0.368
0.750 0.000 0.632
0.500 0.000 0.000
0.000 0.000 0.000
```



(10)
Compound: MgSb2Pb
Source: the Alexandria database
Functional: GGA-PBE
Structure: optimized geometry

Properties
Its energy above the most stable polymorph in this dataset is 163.8 meV/atom. For the total energy, the calculation gives -13.129 eV per formula unit. The uncorrected formation energy comes out at 0.10 eV/atom.

Structure (POSCAR):
```
MgSb2Pb
1.0
10.930 -0.034 -0.020
10.407 3.341 -0.020
10.407 1.613 2.926
Pb Sb Mg
1 2 1
Direct
0.754 0.754 0.754
0.243 0.243 0.243
0.000 0.000 0.000
0.503 0.503 0.503
```



(11)
Compound: Tb7Tm3
Source: the Alexandria database
Functional: GGA-PBE
Structure: optimized geometry

Properties
Its energy above the most stable polymorph in this dataset is 0.0 meV/atom. For the total energy, the calculation gives -45.631 eV per formula unit. Its formation energy is 0.02 eV/atom.

Structure (POSCAR):
```
Tb7Tm3
1.0
5.843 0.982 -1.482
0.527 6.814 -1.821
-0.184 0.282 7.890
Tb Tm
7 3
Direct
0.400 0.600 0.800
0.000 0.500 0.000
0.600 0.900 0.200
0.400 0.100 0.800
0.800 0.700 0.600
0.200 0.300 0.400
0.600 0.400 0.200
0.801 0.199 0.600
0.000 0.000 0.000
0.199 0.801 0.400
```